Compound: CrAuN2O
Source: the Alexandria database
Functional: GGA+U
Structure: optimized geometry

Properties
Its crystal system is tetragonal. As for the spin magnetization: 0.228 μB per formula unit. The value obtained for the density of states at the Fermi level is 0.59 states/eV per atom. The calculation puts the raw total energy at -5.47 eV per atom. The space group is P4/mmm, No. 123.

Unit cell a=3.8900 b=3.8900 c=3.5926 alpha=90.00 beta=90.00 gamma=90.00
Sites, in units of the cell vectors:
Cr 0.0000 0.0000 0.0000
Au 0.5000 0.5000 0.5000
N 0.0000 0.5000 0.0000
N 0.5000 0.0000 0.0000
O 0.0000 0.0000 0.5000